Compound: Mg2MnO4
Source: the Alexandria database
Functional: GGA+U
Structure: optimized geometry

It has space group Cmmm (No. 65), with a = 6.0154 Å, b = 8.4576 Å, c = 2.9548 Å, α = 90.00°, β = 90.00° and γ = 90.00°. The inequivalent atoms are Mg at (0.2500, 0.2500, 0.0000), Mn at (0.0000, 0.0000, 0.5000), O at (0.0000, 0.2284, 0.5000) and O at (0.2119, 0.0000, 0.0000).

As for the electronic total energy: -6.541 eV per atom.